1.
The following is a PBE-GGA calculation of crystalline TbZr2Zn9 at its relaxed geometry, from Alexandria via LeMat-Bulk.

POSCAR file:
```
TbZr2Zn9
1.0
2.6494 1.5296 8.4052
-2.6494 1.5296 8.4052
0.0000 -3.0593 8.4052
Tb Zr Zn
1 2 9
direct
0.0000 0.0000 0.0000
0.1438 0.1438 0.1438
0.8562 0.8562 0.8562
0.0776 0.5890 0.5890
0.3354 0.3354 0.3354
0.4110 0.4110 0.9224
0.4110 0.9224 0.4110
0.5000 0.5000 0.5000
0.5890 0.0776 0.5890
0.5890 0.5890 0.0776
0.6646 0.6646 0.6646
0.9224 0.4110 0.4110
```

Properties
Symmetry: R-3m, No. 166
ΔH_f (0 K) (kJ per mole of atoms): -29

***

2.
The following is a PBE-GGA calculation of crystalline HfBSeBr2 at its relaxed geometry, from Alexandria via LeMat-Bulk.

POSCAR file:
```
HfBSeBr2
1.0
5.1859 0.0000 0.0000
0.0000 5.1859 0.0000
0.0000 0.0000 4.8863
Hf B Se Br
1 1 1 2
direct
0.0000 0.0000 0.0000
0.0000 0.0000 0.5000
0.5000 0.5000 0.5000
0.0000 0.5000 0.0000
0.5000 0.0000 0.0000
```

Properties
Uncorrected formation energy (eV per formula unit): 2.6
Symmetry: P4/mmm, No. 123
Offset from the most stable computed form (eV/atom): 0.2207

***

3.
The following is a PBE-GGA calculation of crystalline NdFeMo at its relaxed geometry, from Alexandria via LeMat-Bulk.

POSCAR file:
```
NdFeMo
1.0
6.5671 0.0000 0.0000
0.0000 6.5671 0.0000
0.0000 0.0000 6.1098
Nd Fe Mo
4 4 4
direct
0.2464 0.2464 0.0000
0.2536 0.7464 0.2500
0.7464 0.2536 0.7500
0.7536 0.7536 0.5000
0.0618 0.9382 0.7500
0.4382 0.4382 0.5000
0.5618 0.5618 0.0000
0.9382 0.0618 0.2500
0.1840 0.1840 0.5000
0.3160 0.6839 0.7500
0.6839 0.3160 0.2500
0.8161 0.8161 0.0000
```

Properties
Symmetry: P4_12_12, No. 92
ΔH_f (0 K) (kJ per mole of atoms): 61

***

4.
The following is a PBE-GGA calculation of crystalline Zr2MnHg at its relaxed geometry, from Alexandria via LeMat-Bulk.

POSCAR file:
```
Zr2MnHg
1.0
-2.0744 2.0744 9.7176
2.0744 -2.0744 9.7176
2.0744 2.0744 -9.7176
Zr Mn Hg
4 2 2
direct
0.1112 0.6250 0.9862
0.3750 0.3612 0.4862
0.6388 0.1250 0.0138
0.8750 0.8888 0.5138
0.0000 0.0000 0.0000
0.7500 0.2500 0.5000
0.2500 0.7500 0.5000
0.5000 0.5000 0.0000
```

Properties
Symmetry: I-42d, No. 122
ΔH_f (0 K) (kJ per mole of atoms): 72

***

5.
The following is a PBE-GGA calculation of crystalline LiYPbBr6 at its relaxed geometry, from Alexandria via LeMat-Bulk.

POSCAR file:
```
LiYPbBr6
1.0
7.1349 0.0000 0.0000
-3.5674 6.1790 0.0000
0.0000 0.0000 13.2380
Li Y Pb Br
2 2 2 12
direct
0.3333 0.6667 0.2500
0.6667 0.3333 0.7500
0.3333 0.6667 0.7500
0.6667 0.3333 0.2500
0.0000 0.0000 0.0000
0.0000 0.0000 0.5000
0.0050 0.3579 0.1308
0.0050 0.6471 0.3692
0.3529 0.3579 0.3692
0.3529 0.9950 0.1308
0.3579 0.0050 0.6308
0.3579 0.3529 0.8692
0.6421 0.6471 0.1308
0.6421 0.9950 0.3692
0.6471 0.0050 0.8692
0.6471 0.6421 0.6308
0.9950 0.3529 0.6308
0.9950 0.6421 0.8692
```

Properties
Uncorrected formation energy (eV per formula unit): -13.2
Symmetry: P-31c, No. 163

***

6.
The following is a PBE-GGA calculation of crystalline BaReP3 at its relaxed geometry, from Alexandria via LeMat-Bulk.

POSCAR file:
```
BaReP3
1.0
4.7827 0.0000 0.0000
0.0000 4.7827 0.0000
0.0000 0.0000 4.7827
Ba Re P
1 1 3
direct
0.0000 0.0000 0.0000
0.5000 0.5000 0.5000
0.0000 0.5000 0.5000
0.5000 0.0000 0.5000
0.5000 0.5000 0.0000
```

Properties
Symmetry: Pm-3m, No. 221
ΔH_f (0 K) (kJ per mole of atoms): -15
Offset from the most stable computed form (eV/atom): 0.0000

***

7.
The following is a PBE-GGA calculation of crystalline Nd6SmIn at its relaxed geometry, from Alexandria via LeMat-Bulk.

POSCAR file:
```
Nd6SmIn
1.0
5.0386 0.0000 0.0000
0.0000 5.0386 0.0000
0.0000 0.0000 10.3980
Nd Sm In
6 1 1
direct
0.0000 0.0000 0.0000
0.0000 0.0000 0.5000
0.0000 0.5000 0.2418
0.0000 0.5000 0.7582
0.5000 0.0000 0.2418
0.5000 0.0000 0.7582
0.5000 0.5000 0.5000
0.5000 0.5000 0.0000
```

Properties
Symmetry: P4/mmm, No. 123
ΔH_f (0 K) (kJ per mole of atoms): -11

***

8.
The following is a PBE-GGA calculation of crystalline RbMgSi at its relaxed geometry, from Alexandria via LeMat-Bulk.

POSCAR file:
```
RbMgSi
1.0
4.7206 0.0000 0.0000
0.0000 4.7206 0.0000
0.0000 0.0000 8.3851
Rb Mg Si
2 2 2
direct
0.2500 0.2500 0.1500
0.7500 0.7500 0.8500
0.2500 0.7500 0.5000
0.7500 0.2500 0.5000
0.2500 0.2500 0.6725
0.7500 0.7500 0.3275
```

Properties
Uncorrected formation energy (eV per formula unit): 0.2
Symmetry: P4/nmm, No. 129
Offset from the most stable computed form (eV/atom): 0.0000

***

9.
The following is a PBE-GGA calculation of crystalline AlNi2Rh at its relaxed geometry, from Alexandria via LeMat-Bulk.

POSCAR file:
```
AlNi2Rh
1.0
2.6694 0.0000 0.0000
0.0000 3.5840 0.0000
-0.0332 0.0000 5.1946
Al Ni Rh
1 2 1
direct
0.0000 0.0000 0.0000
0.4977 0.5000 0.2449
0.5023 0.5000 0.7551
0.0000 0.0000 0.5000
```

Properties
Symmetry: P2/m, No. 10
ΔH_f (0 K) (kJ per mole of atoms): -32

***

10.
The following is a PBE-GGA calculation of crystalline OsRhPbO6 at its relaxed geometry, from Alexandria via LeMat-Bulk.

POSCAR file:
```
OsRhPbO6
1.0
-3.4976 3.6394 5.0922
3.4976 -3.6394 5.0922
3.4976 3.6394 -5.0922
Os Rh Pb O
2 2 2 12
direct
0.0000 0.0000 0.0000
0.5000 0.0000 0.5000
0.5000 0.0000 0.0000
0.5000 0.5000 0.5000
0.1854 0.4354 0.7500
0.8146 0.5646 0.2500
0.1676 0.3214 0.2405
0.1676 0.9271 0.8462
0.2003 0.9503 0.2500
0.4081 0.6581 0.7500
0.4191 0.0729 0.7405
0.4191 0.6786 0.3462
0.5809 0.3214 0.6538
0.5809 0.9271 0.2595
0.5919 0.3419 0.2500
0.7997 0.0497 0.7500
0.8324 0.0729 0.1538
0.8324 0.6786 0.7595
```

Properties
Uncorrected formation energy (eV per formula unit): -7.7
Symmetry: Imma, No. 74

***

11.
The following is a PBE-GGA calculation of crystalline SrPSeCl2 at its relaxed geometry, from Alexandria via LeMat-Bulk.

POSCAR file:
```
SrPSeCl2
1.0
5.2890 0.0000 0.0000
0.0000 5.2890 0.0000
0.0000 0.0000 4.8072
Sr P Se Cl
1 1 1 2
direct
0.0000 0.0000 0.0000
0.5000 0.5000 0.0000
0.5000 0.5000 0.5000
0.0000 0.5000 0.5000
0.5000 0.0000 0.5000
```

Properties
Uncorrected formation energy (eV per formula unit): -2.5
Symmetry: P4/mmm, No. 123
Offset from the most stable computed form (eV/atom): 0.0000

***

12.
The following is a PBE-GGA calculation of crystalline DyPaAlHg at its relaxed geometry, from Alexandria via LeMat-Bulk.

POSCAR file:
```
DyPaAlHg
1.0
0.0000 3.6737 3.6737
3.6737 0.0000 3.6737
3.6737 3.6737 0.0000
Dy Pa Al Hg
1 1 1 1
direct
0.0000 0.0000 0.0000
0.5000 0.5000 0.5000
0.2500 0.2500 0.2500
0.7500 0.7500 0.7500
```

Properties
Symmetry: F-43m, No. 216
ΔH_f (0 K) (kJ per mole of atoms): -5

***

The evaluated DOS(E_F) for the records listed, in turn: 0.66 0.69 1.16 1.64 0.00 0.76 1.12 0.76 1.57 0.50 0.66 1.53 states/eV per atom.